# 1
A relaxed Zr2VNi3 crystal, computed with GGA-PBEsol.

Properties
The value obtained for the calculated total energy is -8.05 eV/atom. Its density of states at the Fermi level is 25.3 states/eV/cell.

a b c (Å): 4.9723 4.9723 11.8787
angles (deg): 90.00 90.00 120.00
Space group R-3m (No. 166, hexagonal axes)
Inequivalent atoms, fractional coordinates:
1 Zr 0.0000 0.0000 0.1289 [6 per cell]
2 V 0.0000 0.0000 0.5000 [3 per cell]
3 Ni 0.0000 0.5000 0.0000 [9 per cell]

***

# 2
A relaxed YAs2W crystal, computed with GGA-PBEsol.

Properties
The value obtained for the calculated total energy is -7.66 eV/atom. Its density of states at the Fermi level is 9.1 states/eV/cell. The calculation puts the energy above the lowest structure with this stoichiometry at 246.1 meV per atom.

a b c (Å): 3.8747 3.8747 9.8371
angles (deg): 90.00 90.00 90.00
Space group I-4m2 (No. 119)
Inequivalent atoms, fractional coordinates:
1 Y 0.0000 0.0000 0.0000 [2 per cell]
2 As 0.0000 0.0000 0.5000 [2 per cell]
3 As 0.0000 0.5000 0.2500 [2 per cell]
4 W 0.0000 0.5000 0.7500 [2 per cell]

***

# 3
A relaxed KAl3Ni crystal, computed with GGA-PBEsol.

Properties
The value obtained for the calculated total energy is -1.75 eV/atom. Its density of states at the Fermi level is 10.0 states/eV/cell.

a b c (Å): 5.3298 5.3298 5.3298
angles (deg): 90.00 90.00 90.00
Space group Pm-3m (No. 221)
Inequivalent atoms, fractional coordinates:
1 K 0.0000 0.0000 0.0000 [1 per cell]
2 Al 0.0000 0.0000 0.5000 [3 per cell]
3 Ni 0.5000 0.5000 0.5000 [1 per cell]

***

# 4
A relaxed ZrNi2Os crystal, computed with GGA-PBEsol.

Properties
The value obtained for the calculated total energy is -8.56 eV/atom. Its density of states at the Fermi level is 2.8 states/eV/cell.

a b c (Å): 2.6727 4.1674 4.9705
angles (deg): 90.00 100.89 90.00
Space group Pm (No. 6)
Inequivalent atoms, fractional coordinates:
1 Zr 0.0000 0.0000 0.0000 [1 per cell]
2 Ni 0.5813 0.5000 0.2231 [1 per cell]
3 Ni 0.6432 0.0000 0.4885 [1 per cell]
4 Os 0.2414 0.5000 0.6555 [1 per cell]

***

# 5
A relaxed K2CdFe crystal, computed with GGA-PBEsol.

Properties
The value obtained for the calculated total energy is -2.51 eV/atom. Its density of states at the Fermi level is 10.8 states/eV/cell.

a b c (Å): 4.5210 4.5210 25.9078
angles (deg): 90.00 90.00 120.00
Space group R3m (No. 160, hexagonal axes)
Inequivalent atoms, fractional coordinates:
1 K 0.0000 0.0000 0.0000 [3 per cell]
2 K 0.0000 0.0000 0.1818 [3 per cell]
3 Cd 0.0000 0.0000 0.7576 [3 per cell]
4 Fe 0.0000 0.0000 0.4241 [3 per cell]

***

# 6
A relaxed Y3Ge4 crystal, computed with GGA-PBEsol.

Properties
The value obtained for the calculated total energy is -6.63 eV/atom. Its density of states at the Fermi level is 8.9 states/eV/cell.

a b c (Å): 4.0080 10.5815 14.1148
angles (deg): 90.00 90.00 90.00
Space group Cmcm (No. 63)
Inequivalent atoms, fractional coordinates:
1 Y 0.0000 0.0422 0.2500 [4 per cell]
2 Y 0.0000 0.3283 0.0971 [8 per cell]
3 Ge 0.0000 0.0000 0.0000 [4 per cell]
4 Ge 0.0000 0.2296 0.7500 [4 per cell]
5 Ge 0.0000 0.3826 0.6082 [8 per cell]

***

# 7
A relaxed CrH18O9F3 crystal, computed with GGA-PBEsol.

Properties
The value obtained for the calculated total energy is -5.25 eV/atom. Its density of states at the Fermi level is 0.0 states/eV/cell.

a b c (Å): 10.6236 10.6236 8.1266
angles (deg): 90.00 90.00 120.00
Space group R3 (No. 146, hexagonal axes)
Inequivalent atoms, fractional coordinates:
1 Cr 0.0000 0.0000 0.0000 [3 per cell]
2 H 0.0421 0.1832 0.7512 [9 per cell]
3 H 0.0525 0.8437 0.5168 [9 per cell]
4 H 0.0732 0.5890 0.7789 [9 per cell]
5 H 0.1483 0.4759 0.1729 [9 per cell]
6 H 0.1500 0.4064 0.5518 [9 per cell]
7 H 0.1873 0.1452 0.2470 [9 per cell]
8 O 0.0039 0.8492 0.1355 [9 per cell]
9 O 0.0892 0.2390 0.5696 [9 per cell]
10 O 0.1533 0.0017 0.8659 [9 per cell]
11 F 0.1813 0.7592 0.0893 [9 per cell]

***

# 8
A relaxed Y2HfGaCo crystal, computed with GGA-PBEsol.

Properties
The value obtained for the calculated total energy is -6.25 eV/atom. Its density of states at the Fermi level is 5.5 states/eV/cell.

a b c (Å): 5.4952 5.4952 4.3129
angles (deg): 90.00 90.00 90.00
Space group P4/mmm (No. 123)
Inequivalent atoms, fractional coordinates:
1 Y 0.0000 0.5000 0.0000 [2 per cell]
2 Hf 0.0000 0.0000 0.0000 [1 per cell]
3 Ga 0.5000 0.5000 0.5000 [1 per cell]
4 Co 0.0000 0.0000 0.5000 [1 per cell]

***

What is the formula in the fifth record? K2CdFe

***

calculated total energy of number 6 (Y3Ge4)? -6.63 eV/atom

***

Which value of calculated total energy does entry 7 give? -5.25 eV/atom

***

Which of these has the highest calculated total energy? KAl3Ni